[1]
RbNiS2: optimized geometry, PBE.

Properties
- D(E_F) (states/eV/cell) = 14.76
- crystal system = tetragonal
- V (Å³/atom) = 24.578
- electronic total energy (eV per cell) = -69.265
- total magnetization (μB/cell) = 0.00

a = 7.029 Å, b = 7.029 Å, c = 7.960 Å
α = 90.00°, β = 90.00°, γ = 90.00°
Space group I-42d (No. 122)
Asymmetric unit:
Rb 0.000 0.000 0.000
Ni 0.000 0.000 0.500
S 0.112 0.250 0.625

[2]
RbNiS3: optimized geometry, PBE.

Properties
- D(E_F) (states/eV/cell) = 5.49
- crystal system = cubic
- V (Å³/atom) = 19.952
- electronic total energy (eV per cell) = -19.411
- total magnetization (μB/cell) = 0.00

a = 4.638 Å, b = 4.638 Å, c = 4.638 Å
α = 90.00°, β = 90.00°, γ = 90.00°
Space group Pm-3m (No. 221)
Asymmetric unit:
Rb 0.000 0.000 0.000
Ni 0.500 0.500 0.500
S 0.000 0.500 0.500

[3]
RbNiS2: optimized geometry, PBE.

Properties
- D(E_F) (states/eV/cell) = 19.66
- crystal system = cubic
- V (Å³/atom) = 20.864
- electronic total energy (eV per cell) = -52.849
- total magnetization (μB/cell) = 10.57

a = 6.937 Å, b = 6.937 Å, c = 6.937 Å
α = 90.00°, β = 90.00°, γ = 90.00°
Space group Fm-3m (No. 225)
Asymmetric unit:
Rb 0.000 0.000 0.000
Ni 0.000 0.000 0.500
S 0.250 0.250 0.250

[4]
Rb4NiS4: optimized geometry, PBE.

Properties
- D(E_F) (states/eV/cell) = 13.86
- crystal system = tetragonal
- V (Å³/atom) = 42.575
- electronic total energy (eV per cell) = -63.680
- total magnetization (μB/cell) = 3.98

a = 7.938 Å, b = 7.938 Å, c = 12.163 Å
α = 90.00°, β = 90.00°, γ = 90.00°
Space group I-42m (No. 121)
Asymmetric unit:
Rb 0.000 0.000 0.198
Rb 0.000 0.500 0.000
Ni 0.000 0.000 0.500
S 0.169 0.169 0.592

[5]
RbNi2S4: optimized geometry, PBE.

Properties
- D(E_F) (states/eV/cell) = 18.59
- crystal system = tetragonal
- V (Å³/atom) = 27.810
- electronic total energy (eV per cell) = -47.293
- total magnetization (μB/cell) = 10.16

a = 5.382 Å, b = 5.382 Å, c = 13.441 Å
α = 90.00°, β = 90.00°, γ = 90.00°
Space group I4/mmm (No. 139)
Asymmetric unit:
Rb 0.000 0.000 0.000
Ni 0.000 0.000 0.414
S 0.000 0.000 0.263
S 0.000 0.500 0.000

[6]
Rb5Ni2S5: optimized geometry, PBE.

Properties
- D(E_F) (states/eV/cell) = 13.85
- crystal system = monoclinic
- V (Å³/atom) = 27.954
- electronic total energy (eV per cell) = -90.233
- total magnetization (μB/cell) = 3.36

a = 14.857 Å, b = 4.143 Å, c = 10.967 Å
α = 90.00°, β = 96.30°, γ = 90.00°
Space group C2/m (No. 12)
Asymmetric unit:
Rb 0.000 0.000 0.000
Rb 0.148 0.000 0.592
Rb 0.209 0.500 0.134
Ni 0.017 0.500 0.302
S 0.000 0.500 0.500
S 0.083 0.000 0.289
S 0.113 0.500 0.828

[7]
RbNi2S: optimized geometry, PBE.

Properties
- D(E_F) (states/eV/cell) = 6.24
- crystal system = tetragonal
- V (Å³/atom) = 22.474
- electronic total energy (eV per cell) = -70.815
- total magnetization (μB/cell) = 0.00

a = 5.130 Å, b = 5.130 Å, c = 13.667 Å
α = 90.00°, β = 90.00°, γ = 90.00°
Space group I4_1/amd (No. 141, origin choice 2)
Asymmetric unit:
Rb 0.000 0.250 0.375
Ni 0.000 0.000 0.000
S 0.000 0.250 0.875

[8]
RbNiS2: optimized geometry, PBE.

Properties
- D(E_F) (states/eV/cell) = 7.46
- crystal system = orthorhombic
- V (Å³/atom) = 32.218
- electronic total energy (eV per cell) = -69.874
- total magnetization (μB/cell) = 3.83

a = 5.834 Å, b = 13.420 Å, c = 6.583 Å
α = 90.00°, β = 90.00°, γ = 90.00°
Space group Cmcm (No. 63)
Asymmetric unit:
Rb 0.000 0.170 0.250
Ni 0.000 0.499 0.250
S 0.000 0.393 0.501

[9]
RbSc2NiS4: optimized geometry, PBE.

Properties
- D(E_F) (states/eV/cell) = 13.46
- crystal system = orthorhombic
- V (Å³/atom) = 20.779
- electronic total energy (eV per cell) = -190.710
- total magnetization (μB/cell) = 0.05

a = 3.753 Å, b = 13.442 Å, c = 13.182 Å
α = 90.00°, β = 90.00°, γ = 90.00°
Space group Cmcm (No. 63)
Asymmetric unit:
Rb 0.000 0.109 0.250
Sc 0.000 0.367 0.063
Ni 0.000 0.163 0.750
S 0.000 0.000 0.000
S 0.000 0.255 0.605
S 0.000 0.423 0.250

[10]
Rb2SiNiS: optimized geometry, PBE.

Properties
- D(E_F) (states/eV/cell) = 2.67
- crystal system = tetragonal
- V (Å³/atom) = 35.761
- electronic total energy (eV per cell) = -16.686
- total magnetization (μB/cell) = 2.63

a = 6.632 Å, b = 6.632 Å, c = 4.066 Å
α = 90.00°, β = 90.00°, γ = 90.00°
Space group P4/mmm (No. 123)
Asymmetric unit:
Rb 0.000 0.500 0.000
Si 0.000 0.000 0.500
Ni 0.500 0.500 0.500
S 0.500 0.500 0.000

[11]
Rb2SiNiS4: optimized geometry, PBE.

Properties
- D(E_F) (states/eV/cell) = 15.82
- crystal system = orthorhombic
- V (Å³/atom) = 28.551
- electronic total energy (eV per cell) = -291.600
- total magnetization (μB/cell) = 16.11

a = 5.854 Å, b = 13.253 Å, c = 23.551 Å
α = 90.00°, β = 90.00°, γ = 90.00°
Space group Fddd (No. 70, origin choice 2)
Asymmetric unit:
Rb 0.125 0.125 0.303
Si 0.125 0.125 0.625
Ni 0.125 0.125 0.125
S 0.106 0.286 0.826

[12]
RbNiSnS3: optimized geometry, PBE.

Properties
- D(E_F) (states/eV/cell) = 6.19
- crystal system = monoclinic
- V (Å³/atom) = 25.708
- electronic total energy (eV per cell) = -53.621
- total magnetization (μB/cell) = 0.00

a = 9.058 Å, b = 3.955 Å, c = 9.116 Å
α = 90.00°, β = 109.16°, γ = 90.00°
Space group P2_1/m (No. 11)
Asymmetric unit:
Rb 0.196 0.250 0.241
Ni 0.075 0.250 0.576
Sn 0.331 0.750 0.859
S 0.133 0.250 0.844
S 0.181 0.750 0.556
S 0.466 0.750 0.158

[13]
Rb2NiSnS4: optimized geometry, PBE.

Properties
- crystal system = orthorhombic
- V (Å³/atom) = 31.474
- electronic total energy (eV per cell) = -266.562
- total magnetization (μB/cell) = 0.00

a = 6.623 Å, b = 11.738 Å, c = 25.910 Å
α = 90.00°, β = 90.00°, γ = 90.00°
Space group Fddd (No. 70, origin choice 2)
Asymmetric unit:
Rb 0.125 0.125 0.300
Ni 0.125 0.125 0.625
Sn 0.125 0.125 0.125
S 0.101 0.322 0.817

[14]
Rb2TaNi2S4: optimized geometry, PBE.

Properties
- D(E_F) (states/eV/cell) = 6.82
- crystal system = monoclinic
- V (Å³/atom) = 20.310
- electronic total energy (eV per cell) = -98.926
- total magnetization (μB/cell) = 0.00

a = 13.447 Å, b = 3.622 Å, c = 7.831 Å
α = 90.00°, β = 106.55°, γ = 90.00°
Space group C2/m (No. 12)
Asymmetric unit:
Rb 0.137 0.000 0.061
Ta 0.000 0.000 0.500
Ni 0.170 0.500 0.486
S 0.016 0.500 0.282
S 0.193 0.000 0.657

[15]
RbTaNiS4: optimized geometry, PBE.

Properties
- D(E_F) (states/eV/cell) = 7.02
- crystal system = monoclinic
- V (Å³/atom) = 23.780
- electronic total energy (eV per cell) = -80.812
- total magnetization (μB/cell) = 3.82

a = 5.879 Å, b = 6.787 Å, c = 8.381 Å
α = 90.00°, β = 95.33°, γ = 90.00°
Space group P2_1/m (No. 11)
Asymmetric unit:
Rb 0.212 0.250 0.052
Ta 0.174 0.750 0.437
Ni 0.347 0.250 0.644
S 0.103 0.501 0.669
S 0.330 0.750 0.187
S 0.468 0.250 0.408

[16]
Rb2NiTeS4: optimized geometry, PBE.

Properties
- D(E_F) (states/eV/cell) = 40.91
- crystal system = orthorhombic
- V (Å³/atom) = 27.142
- electronic total energy (eV per cell) = -243.168
- total magnetization (μB/cell) = 0.15

a = 5.035 Å, b = 15.373 Å, c = 22.443 Å
α = 90.00°, β = 90.00°, γ = 90.00°
Space group Fddd (No. 70, origin choice 2)
Asymmetric unit:
Rb 0.125 0.125 0.309
Ni 0.125 0.125 0.625
Te 0.125 0.125 0.125
S 0.098 0.277 0.807

[17]
RbNi2TeS: optimized geometry, PBE.

Properties
- D(E_F) (states/eV/cell) = 8.07
- crystal system = monoclinic
- V (Å³/atom) = 23.812
- electronic total energy (eV per cell) = -44.143
- total magnetization (μB/cell) = 0.01

a = 7.701 Å, b = 3.906 Å, c = 8.065 Å
α = 90.00°, β = 101.04°, γ = 90.00°
Space group P2_1/m (No. 11)
Asymmetric unit:
Rb 0.050 0.250 0.239
Ni 0.466 0.250 0.088
Ni 0.498 0.750 0.309
Te 0.327 0.750 0.560
S 0.316 0.750 0.064

[18]
RbThNiS3: optimized geometry, PBE.

Properties
- D(E_F) (states/eV/cell) = 6.85
- crystal system = monoclinic
- V (Å³/atom) = 27.456
- electronic total energy (eV per cell) = -69.769
- total magnetization (μB/cell) = 0.34

a = 9.199 Å, b = 4.048 Å, c = 9.372 Å
α = 90.00°, β = 109.26°, γ = 90.00°
Space group P2_1/m (No. 11)
Asymmetric unit:
Rb 0.200 0.250 0.239
Th 0.313 0.750 0.831
Ni 0.085 0.250 0.578
S 0.119 0.250 0.848
S 0.173 0.750 0.522
S 0.466 0.750 0.154

[19]
Rb3Th3NiS8: optimized geometry, PBE.

Properties
- D(E_F) (states/eV/cell) = 9.31
- crystal system = monoclinic
- V (Å³/atom) = 30.512
- electronic total energy (eV per cell) = -172.203
- total magnetization (μB/cell) = 1.91

a = 13.912 Å, b = 8.493 Å, c = 8.942 Å
α = 90.00°, β = 119.96°, γ = 90.00°
Space group C2/m (No. 12)
Asymmetric unit:
Rb 0.000 0.000 0.000
Rb 0.250 0.250 0.000
Th 0.000 0.500 0.500
Th 0.250 0.250 0.500
Ni 0.000 0.000 0.500
S 0.025 0.273 0.300
S 0.195 0.000 0.655
S 0.235 0.500 0.702

[20]
RbTiNiS4: optimized geometry, PBE.

Properties
- D(E_F) (states/eV/cell) = 8.75
- crystal system = monoclinic
- V (Å³/atom) = 21.493
- electronic total energy (eV per cell) = -73.068
- total magnetization (μB/cell) = 0.23

a = 6.139 Å, b = 5.601 Å, c = 9.221 Å
α = 90.00°, β = 108.39°, γ = 90.00°
Space group P2_1/m (No. 11)
Asymmetric unit:
Rb 0.232 0.250 0.047
Ti 0.262 0.250 0.557
Ni 0.257 0.750 0.337
S 0.009 0.506 0.669
S 0.449 0.750 0.578
S 0.469 0.750 0.189

[21]
Rb2TiNi2S4: optimized geometry, PBE.

Properties
- D(E_F) (states/eV/cell) = 12.75
- crystal system = monoclinic
- V (Å³/atom) = 20.395
- electronic total energy (eV per cell) = -92.666
- total magnetization (μB/cell) = 1.24

a = 13.551 Å, b = 3.653 Å, c = 7.753 Å
α = 90.00°, β = 106.95°, γ = 90.00°
Space group C2/m (No. 12)
Asymmetric unit:
Rb 0.135 0.000 0.058
Ti 0.000 0.000 0.500
Ni 0.180 0.500 0.489
S 0.019 0.500 0.291
S 0.192 0.000 0.658

| no. | formation energy without anion corrections (eV/atom) |
| --- | --- |
| 1 | -0.578 |
| 2 | -0.056 |
| 3 | 0.448 |
| 4 | -0.631 |
| 5 | 0.771 |
| 6 | -0.673 |
| 7 | -0.262 |
| 8 | -0.616 |
| 9 | -1.469 |
| 10 | 0.116 |
| 11 | -0.850 |
| 12 | -0.613 |
| 13 | -0.636 |
| 14 | -0.845 |
| 15 | -0.756 |
| 16 | -0.379 |
| 17 | -0.454 |
| 18 | -1.389 |
| 19 | -1.476 |
| 20 | -0.769 |
| 21 | -0.937 |